No. 1
Entry from Alexandria: an optimized crystal structure of ScFeRe (PBE).

The space group is F-43m (No. 216) and the conventional cell measures 5.857, 5.857 and 5.857 Å, with angles of 90.00, 90.00 and 90.00 degrees. The asymmetric unit holds Sc at (0.000, 0.000, 0.000), Fe at (0.250, 0.250, 0.250) and Re at (0.000, 0.000, 0.500).

The energy relative to the lowest polymorph listed for this composition is 539 meV per atom. As for the formation enthalpy at 0 K: 0.2878 eV per atom.

***

No. 2
Entry from Alexandria: an optimized crystal structure of ScFeRe2 (PBE).

The space group is P4mm (No. 99) and the conventional cell measures 2.759, 2.759 and 7.918 Å, with angles of 90.00, 90.00 and 90.00 degrees. The asymmetric unit holds Sc at (0.000, 0.000, 0.000), Fe at (0.500, 0.500, 0.250), Re at (0.000, 0.000, 0.446) and Re at (0.500, 0.500, 0.707).

The energy relative to the lowest polymorph listed for this composition is 134 meV per atom. As for the formation enthalpy at 0 K: 0.0929 eV per atom.

***

No. 3
Entry from Alexandria: an optimized crystal structure of ScFeRe2 (PBE).

The space group is Imm2 (No. 44) and the conventional cell measures 3.153, 4.451 and 8.687 Å, with angles of 90.00, 90.00 and 90.00 degrees. The asymmetric unit holds Sc at (0.000, 0.000, 0.000), Fe at (0.000, 0.500, 0.760), Re at (0.000, 0.000, 0.497) and Re at (0.000, 0.500, 0.235).

The energy relative to the lowest polymorph listed for this composition is 102 meV per atom. As for the formation enthalpy at 0 K: 0.0610 eV per atom.

***

No. 4
Entry from Alexandria: an optimized crystal structure of ScFeRe2 (PBE).

The space group is P4/mmm (No. 123) and the conventional cell measures 4.330, 4.330 and 3.199 Å, with angles of 90.00, 90.00 and 90.00 degrees. The asymmetric unit holds Sc at (0.000, 0.000, 0.000), Fe at (0.500, 0.500, 0.000) and Re at (0.000, 0.500, 0.500).

The energy relative to the lowest polymorph listed for this composition is 258 meV per atom. As for the formation enthalpy at 0 K: 0.2170 eV per atom.

***

No. 5
Entry from Alexandria: an optimized crystal structure of ScFeRe2 (PBE).

The space group is P4/mmm (No. 123) and the conventional cell measures 3.098, 3.098 and 6.439 Å, with angles of 90.00, 90.00 and 90.00 degrees. The asymmetric unit holds Sc at (0.000, 0.000, 0.000), Fe at (0.000, 0.000, 0.500) and Re at (0.500, 0.500, 0.291).

The energy relative to the lowest polymorph listed for this composition is 160 meV per atom. As for the formation enthalpy at 0 K: 0.1183 eV per atom.

***

No. 6
Entry from Alexandria: an optimized crystal structure of ScFeRe2 (PBE).

The space group is Cmmm (No. 65) and the conventional cell measures 5.213, 8.666 and 2.724 Å, with angles of 90.00, 90.00 and 90.00 degrees. The asymmetric unit holds Sc at (0.000, 0.000, 0.000), Fe at (0.000, 0.500, 0.000) and Re at (0.250, 0.250, 0.500).

The energy relative to the lowest polymorph listed for this composition is 305 meV per atom. As for the formation enthalpy at 0 K: 0.2637 eV per atom.